No. 1
# Cu5IrCl12

Cu5IrCl12 after structural relaxation (PBE, Alexandria).

abc: 6.9388 6.1584 12.6830
angles: 97.23 102.98 55.73
Closest atoms and distances in Å follow each position.
Fractional positions:
Cl: 0.1817 0.3334 0.3888  2 Cu 2.30
Cl: 0.5152 0.6668 0.3888  2 Cu 2.30
Cl: 0.6589 0.9998 0.9188  1 Ir 2.36, 2 Cu 2.39-2.40
Cl: 0.4847 0.3332 0.6112  2 Cu 2.30
Cl: 0.8917 0.3355 0.8829  1 Cu 2.32, 1 Ir 2.36
Cl: 0.3411 0.0001 0.0812  1 Ir 2.36, 2 Cu 2.39-2.40
Cl: 0.8475 0.0004 0.3890  2 Cu 2.30
Cl: 0.7706 0.3367 0.1160  1 Cu 2.33, 1 Ir 2.36
Cl: 0.8183 0.6666 0.6112  2 Cu 2.30
Cl: 0.1083 0.6645 0.1171  1 Cu 2.32, 1 Ir 2.36
Cl: 0.1525 0.9997 0.6110  2 Cu 2.30
Cl: 0.2294 0.6633 0.8840  1 Cu 2.33, 1 Ir 2.36
Cu: 0.1667 0.6665 0.4999  4 Cl 2.30
Cu: 0.5000 0.0000 0.5000  4 Cl 2.30
Cu: 0.8333 0.3335 0.5001  4 Cl 2.30
Cu: 0.3339 0.3375 0.0019  4 Cl 2.32-2.40
Cu: 0.6661 0.6625 0.9981  4 Cl 2.32-2.40
Ir: 0.0000 0.0000 0.0000  6 Cl 2.36

Formation energy from raw total energies, eV/atom: -0.484
Electronic total energy, eV per formula unit: -60.21
M_tot, Bohr magnetons per cell: 4.1
Calculated volume, Å³/atom: 24.25

No. 2
# CaSm3

CaSm3 after structural relaxation (PBE, Alexandria).

abc: 5.2160 5.2160 6.3176
angles: 114.38 114.38 90.00
Closest atoms and distances in Å follow each position.
Fractional positions:
Sm: 0.7500 0.2500 0.5000  8 Sm 3.66-3.69, 4 Ca 3.66
Sm: 0.2500 0.7500 0.5000  4 Ca 3.66, 8 Sm 3.66-3.69
Sm: 0.5000 0.5000 0.0000  8 Sm 3.66, 4 Ca 3.69
Ca: 0.0000 0.0000 0.0000  12 Sm 3.66-3.69

Electronic total energy, eV per formula unit: -15.80
M_tot, Bohr magnetons per cell: 0.0
Calculated volume, Å³/atom: 34.89
DFT formation energy, eV per atom: 0.09

No. 3
# Ho12ErTh5

Ho12ErTh5 after structural relaxation (PBE, Alexandria).

abc: 14.9463 10.6128 5.0351
angles: 90.00 90.00 45.24
Closest atoms and distances in Å follow each position.
Fractional positions:
Ho: 0.1700 0.3343 0.4999  4 Th 3.50, 8 Ho 3.55-3.62
Ho: 0.0032 0.6674 0.0000  3 Th 3.49-3.50, 1 Er 3.50, 8 Ho 3.55-3.62
Ho: 0.3372 0.0000 0.9999  4 Th 3.50-3.51, 8 Ho 3.56-3.61
Ho: 0.6706 0.3326 0.0000  3 Th 3.49-3.50, 1 Er 3.50, 8 Ho 3.55-3.62
Ho: 0.1660 0.0000 0.4998  2 Th 3.52, 2 Er 3.53, 8 Ho 3.55-3.59
Ho: 0.5043 0.6657 0.5000  4 Th 3.50, 8 Ho 3.55-3.62
Ho: 0.8341 0.0000 0.5002  2 Th 3.52, 2 Er 3.53, 8 Ho 3.55-3.59
Ho: 0.6628 0.0000 0.0001  4 Th 3.50-3.51, 8 Ho 3.56-3.61
Ho: 0.3294 0.6674 0.0000  3 Th 3.49-3.50, 1 Er 3.50, 8 Ho 3.55-3.62
Ho: 0.9968 0.3326 0.0000  3 Th 3.49-3.50, 1 Er 3.50, 8 Ho 3.55-3.62
Ho: 0.4957 0.3343 0.5000  4 Th 3.50, 8 Ho 3.55-3.62
Ho: 0.8300 0.6657 0.5001  4 Th 3.50, 8 Ho 3.55-3.62
Th: 0.8340 0.3320 0.5000  8 Ho 3.50-3.52, 2 Er 3.55, 2 Th 3.55
Th: 0.6678 0.6645 0.0000  8 Ho 3.49-3.51, 4 Th 3.55-3.57
Th: 0.3323 0.3355 0.0000  8 Ho 3.49-3.51, 4 Th 3.55-3.57
Th: 0.5000 0.0000 0.5000  8 Ho 3.50, 4 Th 3.57
Th: 0.1660 0.6680 0.5000  8 Ho 3.50-3.52, 2 Er 3.55, 2 Th 3.55
Er: 0.0000 0.0000 0.0000  8 Ho 3.50-3.53, 4 Th 3.55

Electronic total energy, eV per formula unit: -96.11
M_tot, Bohr magnetons per cell: 0.0
Calculated volume, Å³/atom: 31.51
DFT formation energy, eV per atom: 0.03